1.
! BaFeF3 (GGA+U, optimized geometry); values from VASP
&SYSTEM
  ibrav = 0, nat = 5, ntyp = 3
/
ATOMIC_SPECIES
Ba 137.33 Ba.upf
F 19.00 F.upf
Fe 55.84 Fe.upf
CELL_PARAMETERS angstrom
4.319 0.000 0.000
0.000 4.319 0.000
0.000 0.000 4.319
ATOMIC_POSITIONS crystal
Ba 0.500 0.500 0.500
F 0.000 0.500 0.000
Fe 0.000 0.000 0.000
F 0.000 0.000 0.500
F 0.500 0.000 0.000
! spin magnetization = 3.267 μB per cell

2.
! BaFeF3 (GGA+U, optimized geometry); values from VASP
&SYSTEM
  ibrav = 0, nat = 5, ntyp = 3
/
ATOMIC_SPECIES
Fe 55.84 Fe.upf
F 19.00 F.upf
Ba 137.33 Ba.upf
CELL_PARAMETERS angstrom
5.065 0.000 0.000
0.000 5.065 0.000
0.000 0.000 5.065
ATOMIC_POSITIONS crystal
Fe 0.500 0.500 0.500
F 0.000 0.500 0.000
F 0.000 0.000 0.500
Ba 0.000 0.000 0.000
F 0.500 0.000 0.000
! spin magnetization = 3.000 μB per cell

Which one sits at the top of the stability order? 1 does.